<P>
{
  "formula": "NaFe3I",
  "functional": "PBE",
  "state": "relaxed",
  "cell": [[-2.7587, 1.9653, -3.3181], [-3.7461, -0.3968, 2.8795], [0.9159, 4.2968, 1.7836]],
  "species": ["Fe", "Fe", "Fe", "Na", "I"],
  "fractional_positions": [[0.5000, 0.0000, 0.0000], [0.0000, 0.0000, 0.5000], [0.0000, 0.5000, 0.0000], [0.5000, 0.5000, 0.5000], [0.0000, 0.0000, 0.0000]],
  "n_ef_per_ev_cell": 3.32
}

<Q>
{
  "formula": "NaFe3I",
  "functional": "PBE",
  "state": "relaxed",
  "cell": [[-0.8669, -1.9923, 4.1915], [-1.7416, -3.8127, -2.1725], [4.3017, -1.9451, -0.0349]],
  "species": ["Fe", "Fe", "Fe", "Na", "I"],
  "fractional_positions": [[0.5000, 0.0000, 0.0000], [0.0000, 0.0000, 0.5000], [0.0000, 0.5000, 0.0000], [0.0000, 0.0000, 0.0000], [0.5000, 0.5000, 0.5000]],
  "n_ef_per_ev_cell": 8.51
}

Energy above the most stable structure, in meV per atom: <P> 0; <Q> 551